Sn3MoF GGA+U optimized geometry; ΔE to the lowest computed polymorph = 0.0 meV per atom; total magnetization = 4.16 Bohr magnetons per cell; crystal system = cubic
1.0
4.9307 0.0000 0.0000
0.0000 4.9307 0.0000
0.0000 0.0000 4.9307
Sn Mo F
3 1 1
direct
0.0000 0.0000 0.5000 Sn
0.0000 0.5000 0.0000 Sn
0.5000 0.0000 0.0000 Sn
0.5000 0.5000 0.5000 Mo
0.0000 0.0000 0.0000 F


SnMoF3 GGA+U optimized geometry; ΔE to the lowest computed polymorph = 122.4 meV per atom; total magnetization = 5.02 Bohr magnetons per cell; crystal system = cubic
1.0
4.6509 0.0000 0.0000
0.0000 4.6509 0.0000
0.0000 0.0000 4.6509
Sn Mo F
1 1 3
direct
0.0000 0.0000 0.0000 Sn
0.5000 0.5000 0.5000 Mo
0.0000 0.0000 0.5000 F
0.0000 0.5000 0.0000 F
0.5000 0.0000 0.0000 F


Sn2MoF GGA+U optimized geometry; ΔE to the lowest computed polymorph = 0.0 meV per atom; total magnetization = 14.57 Bohr magnetons per cell; crystal system = cubic
1.0
6.9267 0.0000 0.0000
0.0000 6.9267 0.0000
0.0000 0.0000 6.9267
Sn Mo F
8 4 4
direct
0.2500 0.2500 0.2500 Sn
0.2500 0.2500 0.7500 Sn
0.2500 0.7500 0.2500 Sn
0.2500 0.7500 0.7500 Sn
0.7500 0.2500 0.2500 Sn
0.7500 0.2500 0.7500 Sn
0.7500 0.7500 0.2500 Sn
0.7500 0.7500 0.7500 Sn
0.0000 0.0000 0.0000 Mo
0.0000 0.5000 0.5000 Mo
0.5000 0.0000 0.5000 Mo
0.5000 0.5000 0.0000 Mo
0.0000 0.0000 0.5000 F
0.0000 0.5000 0.0000 F
0.5000 0.0000 0.0000 F
0.5000 0.5000 0.5000 F


Sn3MoF GGA+U optimized geometry; ΔE to the lowest computed polymorph = 106.1 meV per atom; total magnetization = 0.98 Bohr magnetons per cell; crystal system = cubic
1.0
5.2519 0.0000 0.0000
0.0000 5.2519 0.0000
0.0000 0.0000 5.2519
Sn Mo F
3 1 1
direct
0.0000 0.0000 0.5000 Sn
0.0000 0.5000 0.0000 Sn
0.5000 0.0000 0.0000 Sn
0.0000 0.0000 0.0000 Mo
0.5000 0.5000 0.5000 F


SnMo2F GGA+U optimized geometry; ΔE to the lowest computed polymorph = 43.0 meV per atom; total magnetization = 28.00 Bohr magnetons per cell; crystal system = cubic
1.0
6.7859 0.0000 0.0000
0.0000 6.7859 0.0000
0.0000 0.0000 6.7859
Sn Mo F
4 8 4
direct
0.0000 0.0000 0.0000 Sn
0.0000 0.5000 0.5000 Sn
0.5000 0.0000 0.5000 Sn
0.5000 0.5000 0.0000 Sn
0.2500 0.2500 0.2500 Mo
0.2500 0.2500 0.7500 Mo
0.2500 0.7500 0.2500 Mo
0.2500 0.7500 0.7500 Mo
0.7500 0.2500 0.2500 Mo
0.7500 0.2500 0.7500 Mo
0.7500 0.7500 0.2500 Mo
0.7500 0.7500 0.7500 Mo
0.0000 0.0000 0.5000 F
0.0000 0.5000 0.0000 F
0.5000 0.0000 0.0000 F
0.5000 0.5000 0.5000 F


SnMoF3 GGA+U optimized geometry; ΔE to the lowest computed polymorph = 0.0 meV per atom; total magnetization = 3.37 Bohr magnetons per cell; crystal system = cubic
1.0
4.4296 0.0000 0.0000
0.0000 4.4296 0.0000
0.0000 0.0000 4.4296
Sn Mo F
1 1 3
direct
0.0000 0.0000 0.0000 Sn
0.5000 0.5000 0.5000 Mo
0.0000 0.5000 0.5000 F
0.5000 0.0000 0.5000 F
0.5000 0.5000 0.0000 F


Sn2MoF GGA+U optimized geometry; ΔE to the lowest computed polymorph = 86.0 meV per atom; total magnetization = 16.45 Bohr magnetons per cell; crystal system = tetragonal
1.0
7.7711 0.0000 0.0000
0.0000 7.7711 0.0000
0.0000 0.0000 6.0357
Sn Mo F
8 4 4
direct
0.1824 0.2500 0.1250 Sn
0.2500 0.6824 0.3750 Sn
0.2500 0.8176 0.8750 Sn
0.3176 0.2500 0.6250 Sn
0.6824 0.7500 0.6250 Sn
0.7500 0.1824 0.8750 Sn
0.7500 0.3176 0.3750 Sn
0.8176 0.7500 0.1250 Sn
0.0000 0.0000 0.5000 Mo
0.0000 0.5000 0.7500 Mo
0.5000 0.0000 0.2500 Mo
0.5000 0.5000 0.0000 Mo
0.0000 0.0000 0.0000 F
0.0000 0.5000 0.2500 F
0.5000 0.0000 0.7500 F
0.5000 0.5000 0.5000 F


SnMoF2 GGA+U optimized geometry; ΔE to the lowest computed polymorph = 0.0 meV per atom; total magnetization = 11.90 Bohr magnetons per cell; crystal system = trigonal
1.0
3.2545 0.0000 0.0000
-1.6272 2.8185 0.0000
0.0000 0.0000 24.8414
Sn Mo F
3 3 6
direct
0.0000 0.0000 0.0000 Sn
0.3333 0.6667 0.6667 Sn
0.6667 0.3333 0.3333 Sn
0.0000 0.0000 0.5000 Mo
0.3333 0.6667 0.1667 Mo
0.6667 0.3333 0.8333 Mo
0.0000 0.0000 0.4151 F
0.0000 0.0000 0.5849 F
0.3333 0.6667 0.0818 F
0.3333 0.6667 0.2515 F
0.6667 0.3333 0.7485 F
0.6667 0.3333 0.9182 F


SnMo2F GGA+U optimized geometry; ΔE to the lowest computed polymorph = 0.0 meV per atom; total magnetization = 30.26 Bohr magnetons per cell; crystal system = tetragonal
1.0
7.1072 0.0000 0.0000
0.0000 7.1072 0.0000
0.0000 0.0000 6.5875
Sn Mo F
4 8 4
direct
0.0000 0.0000 0.0000 Sn
0.0000 0.5000 0.2500 Sn
0.5000 0.0000 0.7500 Sn
0.5000 0.5000 0.5000 Sn
0.1983 0.2500 0.6250 Mo
0.2500 0.6983 0.8750 Mo
0.2500 0.8017 0.3750 Mo
0.3017 0.2500 0.1250 Mo
0.6983 0.7500 0.1250 Mo
0.7500 0.1983 0.3750 Mo
0.7500 0.3017 0.8750 Mo
0.8017 0.7500 0.6250 Mo
0.0000 0.0000 0.5000 F
0.0000 0.5000 0.7500 F
0.5000 0.0000 0.2500 F
0.5000 0.5000 0.0000 F


Sn2MoF8 GGA+U optimized geometry; electronic total energy = -5.143 eV per atom; total magnetization = 1.99 Bohr magnetons per cell; crystal system = monoclinic
1.0
5.2494 -3.8298 0.0000
5.2494 3.8298 0.0000
-1.6603 0.0000 4.8414
Sn Mo F
2 1 8
direct
0.1494 0.1494 0.3000 Sn
0.8506 0.8506 0.7000 Sn
0.5000 0.5000 0.0000 Mo
0.0802 0.0802 0.8471 F
0.1962 0.5785 0.7595 F
0.3741 0.3741 0.2138 F
0.4215 0.8038 0.2405 F
0.5785 0.1962 0.7595 F
0.6259 0.6259 0.7862 F
0.8038 0.4215 0.2405 F
0.9198 0.9198 0.1529 F


SnMoF2 GGA+U optimized geometry; ΔE to the lowest computed polymorph = 81.8 meV per atom; total magnetization = 6.21 Bohr magnetons per cell; crystal system = trigonal
1.0
3.2074 0.0000 0.0000
-1.6037 2.7777 0.0000
0.0000 0.0000 28.7980
Sn Mo F
3 3 6
direct
0.0000 0.0000 0.0000 Sn
0.3333 0.6667 0.6667 Sn
0.6667 0.3333 0.3333 Sn
0.0000 0.0000 0.5000 Mo
0.3333 0.6667 0.1667 Mo
0.6667 0.3333 0.8333 Mo
0.0000 0.0000 0.1233 F
0.0000 0.0000 0.8767 F
0.3333 0.6667 0.5434 F
0.3333 0.6667 0.7900 F
0.6667 0.3333 0.2100 F
0.6667 0.3333 0.4566 F


Ta2SnMoF GGA+U optimized geometry; electronic total energy = -6.023 eV per atom; total magnetization = 2.17 Bohr magnetons per cell; crystal system = tetragonal
1.0
5.3058 0.0000 0.0000
0.0000 5.3058 0.0000
0.0000 0.0000 4.1230
Ta Sn Mo F
2 1 1 1
direct
0.0000 0.5000 0.0000 Ta
0.5000 0.0000 0.0000 Ta
0.0000 0.0000 0.0000 Sn
0.5000 0.5000 0.5000 Mo
0.0000 0.0000 0.5000 F


TiSnMoF2 GGA+U optimized geometry; electronic total energy = -5.123 eV per atom; total magnetization = 0.00 Bohr magnetons per cell; crystal system = tetragonal
1.0
4.1284 0.0000 0.0000
0.0000 4.1284 0.0000
0.0000 0.0000 5.1756
Ti Sn Mo F
1 1 1 2
direct
0.0000 0.0000 0.0000 Ti
0.5000 0.5000 0.0000 Sn
0.0000 0.0000 0.5000 Mo
0.0000 0.5000 0.5000 F
0.5000 0.0000 0.5000 F


TlSn2MoF8 GGA+U optimized geometry; electronic total energy = -5.008 eV per atom; total magnetization = 3.00 Bohr magnetons per cell; crystal system = triclinic
1.0
5.3223 0.0000 0.0000
0.1007 5.3278 0.0000
0.5106 0.7450 8.0425
Tl Sn Mo F
1 2 1 8
direct
0.0000 0.0000 0.0000 Tl
0.4877 0.4842 0.7441 Sn
0.5123 0.5158 0.2559 Sn
0.0000 0.0000 0.5000 Mo
0.1643 0.7852 0.3139 F
0.2244 0.8394 0.6902 F
0.2783 0.2814 0.4430 F
0.3157 0.3471 0.0808 F
0.6843 0.6529 0.9192 F
0.7217 0.7186 0.5570 F
0.7756 0.1606 0.3098 F
0.8357 0.2148 0.6861 F


Tl2SnMoF6 GGA+U optimized geometry; electronic total energy = -4.694 eV per atom; total magnetization = 6.02 Bohr magnetons per cell; crystal system = orthorhombic
1.0
5.8581 0.0000 0.0000
0.0000 8.6817 0.0000
0.0000 0.0000 7.9642
Tl Sn Mo F
4 2 2 12
direct
0.2500 0.0460 0.1057 Tl
0.2500 0.4540 0.1057 Tl
0.7500 0.5460 0.8943 Tl
0.7500 0.9540 0.8943 Tl
0.2500 0.7500 0.7209 Sn
0.7500 0.2500 0.2791 Sn
0.2500 0.2500 0.6700 Mo
0.7500 0.7500 0.3300 Mo
0.0077 0.7500 0.5183 F
0.0118 0.2500 0.8641 F
0.2500 0.0081 0.6710 F
0.2500 0.4919 0.6710 F
0.4882 0.2500 0.8641 F
0.4923 0.7500 0.5183 F
0.5077 0.2500 0.4817 F
0.5118 0.7500 0.1359 F
0.7500 0.5081 0.3290 F
0.7500 0.9919 0.3290 F
0.9882 0.7500 0.1359 F
0.9923 0.2500 0.4817 F


ZnSnMo2F GGA+U optimized geometry; electronic total energy = -3.937 eV per atom; total magnetization = 8.09 Bohr magnetons per cell; crystal system = tetragonal
1.0
4.7906 0.0000 0.0000
0.0000 4.7906 0.0000
0.0000 0.0000 4.5278
Zn Sn Mo F
1 1 2 1
direct
0.0000 0.0000 0.0000 Zn
0.5000 0.5000 0.0000 Sn
0.0000 0.5000 0.5000 Mo
0.5000 0.0000 0.5000 Mo
0.0000 0.0000 0.5000 F


ZrSn2MoF GGA+U optimized geometry; electronic total energy = -5.334 eV per atom; total magnetization = 4.01 Bohr magnetons per cell; crystal system = tetragonal
1.0
5.7430 0.0000 0.0000
0.0000 5.7430 0.0000
0.0000 0.0000 4.0899
Zr Sn Mo F
1 2 1 1
direct
0.0000 0.0000 0.0000 Zr
0.0000 0.5000 0.0000 Sn
0.5000 0.0000 0.0000 Sn
0.5000 0.5000 0.5000 Mo
0.0000 0.0000 0.5000 F


SrMoF6 GGA+U optimized geometry; electronic total energy = -5.560 eV per atom; total magnetization = 4.00 Bohr magnetons per cell; crystal system = monoclinic
1.0
7.2948 0.0000 0.0000
0.0000 6.7132 0.0000
-1.8818 0.0000 5.1686
Sr Mo F
2 2 12
direct
0.0000 0.0000 0.0000 Sr
0.5000 0.5000 0.0000 Sr
0.0000 0.5000 0.5000 Mo
0.5000 0.0000 0.5000 Mo
0.0807 0.2940 0.7837 F
0.0807 0.7060 0.7837 F
0.2243 0.0000 0.4764 F
0.2757 0.5000 0.5236 F
0.4193 0.2060 0.2163 F
0.4193 0.7940 0.2163 F
0.5807 0.2060 0.7837 F
0.5807 0.7940 0.7837 F
0.7243 0.5000 0.4764 F
0.7757 0.0000 0.5236 F
0.9193 0.2940 0.2163 F
0.9193 0.7060 0.2163 F


SrMoF3 GGA+U optimized geometry; ΔE to the lowest computed polymorph = 247.4 meV per atom; total magnetization = 4.39 Bohr magnetons per cell; crystal system = cubic
1.0
4.6030 0.0000 0.0000
0.0000 4.6030 0.0000
0.0000 0.0000 4.6030
Sr Mo F
1 1 3
direct
0.0000 0.0000 0.0000 Sr
0.5000 0.5000 0.5000 Mo
0.0000 0.5000 0.5000 F
0.5000 0.0000 0.5000 F
0.5000 0.5000 0.0000 F


SrMo2F GGA+U optimized geometry; ΔE to the lowest computed polymorph = 0.0 meV per atom; total magnetization = 29.03 Bohr magnetons per cell; crystal system = tetragonal
1.0
7.0731 0.0000 0.0000
0.0000 7.0731 0.0000
0.0000 0.0000 10.0541
Sr Mo F
4 8 4
direct
0.0000 0.2500 0.3750 Sr
0.0000 0.7500 0.6250 Sr
0.5000 0.2500 0.1250 Sr
0.5000 0.7500 0.8750 Sr
0.0000 0.0000 0.0000 Mo
0.0000 0.5000 0.0000 Mo
0.2500 0.2500 0.7500 Mo
0.2500 0.7500 0.2500 Mo
0.5000 0.0000 0.5000 Mo
0.5000 0.5000 0.5000 Mo
0.7500 0.2500 0.7500 Mo
0.7500 0.7500 0.2500 Mo
0.0000 0.2500 0.8750 F
0.0000 0.7500 0.1250 F
0.5000 0.2500 0.6250 F
0.5000 0.7500 0.3750 F